The following is a DFT calculation (PBE-GGA) of a relaxed PmGd3O crystal.

The structure in extended XYZ format:
```
5
Lattice="-4.158 1.736 -2.204 0.198 -3.749 -3.326 -2.799 -2.844 3.039" Properties=species:S:1:pos:R:3 pbc="T T T"
Gd 0.099 -1.875 -1.663
Gd -1.399 -1.422 1.520
Gd -2.079 0.868 -1.102
O 0.000 0.000 0.000
Pm -3.379 -2.428 -1.246
```

## Properties
The calculation puts the total energy at -11.4609 eV/atom. The calculation puts the density of states at the Fermi level at 6.88 states/eV per cell. As for the space-group type: Pm-3m, No. 221. For the energy relative to the elements, uncorrected, the calculation gives -1.071 eV/atom. Its total magnetization is 22.04 μB per cell.


The following is a DFT calculation (PBE-GGA) of a relaxed PmGdO2 crystal.

The structure in extended XYZ format:
```
4
Lattice="-2.987 0.958 -1.917 -3.320 -1.170 1.062 -2.803 5.380 3.530" Properties=species:S:1:pos:R:3 pbc="T T T"
Gd -4.555 2.584 1.337
O -2.563 3.516 2.225
O -6.546 1.652 0.449
Pm 0.000 0.000 0.000
```

## Properties
The calculation puts the total energy at -9.9831 eV/atom. The calculation puts the density of states at the Fermi level at 1.30 states/eV per cell. As for the space-group type: R-3m, No. 166. For the energy relative to the elements, uncorrected, the calculation gives -2.796 eV/atom. Its total magnetization is 6.97 μB per cell.


The following is a DFT calculation (PBE-GGA) of a relaxed Pm2GdO crystal.

The structure in extended XYZ format:
```
4
Lattice="-2.933 0.646 -1.177 -1.337 -1.668 2.416 -0.354 7.640 5.077" Properties=species:S:1:pos:R:3 pbc="T T T"
Gd -2.312 3.310 3.158
O -2.135 -0.511 0.620
Pm -0.294 6.349 4.219
Pm -0.060 1.291 0.858
```

## Properties
The calculation puts the total energy at -7.9499 eV/atom. The calculation puts the density of states at the Fermi level at 5.23 states/eV per cell. As for the space-group type: P4/mmm, No. 123. For the energy relative to the elements, uncorrected, the calculation gives -0.815 eV/atom. Its total magnetization is 7.57 μB per cell.


The following is a DFT calculation (PBE-GGA) of a relaxed Pm4Gd2O crystal.

The structure in extended XYZ format:
```
7
Lattice="4.915 0.000 0.000 0.000 4.915 0.000 -2.457 -2.457 8.848" Properties=species:S:1:pos:R:3 pbc="T T T"
Gd 2.457 2.457 2.833
Gd 0.000 0.000 6.015
O 0.000 0.000 0.000
Pm 2.457 2.457 6.396
Pm 0.000 0.000 2.452
Pm 0.000 2.457 0.000
Pm 2.457 0.000 0.000
```

## Properties
The calculation puts the total energy at -8.0718 eV/atom. The calculation puts the density of states at the Fermi level at 9.64 states/eV per cell. As for the space-group type: I4/mmm, No. 139. For the energy relative to the elements, uncorrected, the calculation gives -0.626 eV/atom. Its total magnetization is 15.05 μB per cell.


Question: What is the energy relative to the elements, uncorrected in the first record?
Answer: -1.071 eV/atom